# 1
PBE KCu2P, optimized geometry; symmetry = No. 47; formation energy = 0.37 eV per atom
1.0
-0.613 0.507 2.566
-3.147 -1.919 -0.373
3.578 -6.274 2.094
Cu K P
2 1 1
Cartesian
2.095 -3.673 1.226
3.272 -5.738 1.915
-0.986 -2.275 1.620
0.803 -5.412 2.667


# 2
PBE K2BaTc2N4, optimized geometry; symmetry = No. 12; uncorrected formation energy = -1.9 eV per formula unit
1.0
-1.975 -0.332 -3.001
7.428 0.089 -2.728
-5.562 -6.445 4.373
Ba N K Tc
1 4 2 2
Cartesian
0.000 0.000 0.000
2.318 -0.662 -1.452
-2.427 -6.026 0.095
2.096 -5.014 -0.824
-2.205 -1.674 -0.533
-1.327 -3.591 1.271
1.218 -3.097 -2.628
4.013 -0.448 -2.591
-4.122 -6.240 1.234


# 3
PBE Ac3Br, optimized geometry; symmetry = No. 194; uncorrected formation energy = -0.6 eV per formula unit
1.0
3.845 -6.660 0.000
3.845 6.660 0.000
0.000 0.000 6.284
Ac Br
6 2
Cartesian
3.845 -4.439 4.713
5.767 -1.111 4.713
1.924 1.111 1.571
5.767 1.111 1.571
1.924 -1.111 4.713
3.845 4.439 1.571
3.845 -2.220 1.571
3.845 2.220 4.713


no.,V (Å³ per cell),total magnetization (μB per cell)
1,75,0.00
2,182,0.00
3,322,0.00